Record 1
Rb5Rh2Cl12: optimized geometry, PBE.

D(E_F) ... 20.19 states/eV/f.u.
E_form (uncorrected) ... -1184 meV per atom
Total magnetization ... 1.3 μB/cell

Cell: 8.862 9.363 9.363 Å, 88.61 78.40 78.40°
Fractional positions:
Cl 0.182 0.241 0.959
Cl 0.154 0.632 0.142
Cl 0.846 0.858 0.368
Cl 0.738 0.510 0.510
Cl 0.818 0.041 0.759
Cl 0.147 0.895 0.895
Cl 0.846 0.368 0.858
Cl 0.818 0.759 0.041
Cl 0.154 0.142 0.632
Cl 0.182 0.959 0.241
Cl 0.262 0.490 0.490
Cl 0.853 0.105 0.105
Rh 0.000 0.138 0.862
Rh 0.000 0.862 0.138
Rb 0.500 0.000 0.000
Rb 0.586 0.332 0.332
Rb 0.414 0.668 0.668
Rb 0.057 0.327 0.327
Rb 0.943 0.673 0.673

Record 2
LiHgBr2: optimized geometry, PBE.

D(E_F) ... 1.73 states/eV/f.u.
E_form (uncorrected) ... -607 meV per atom
Total magnetization ... 0.0 μB/cell

Cell: 5.204 5.204 3.736 Å, 90.00 90.00 90.00°
Fractional positions:
Hg 0.500 0.000 0.500
Br 0.500 0.500 0.000
Br 0.000 0.000 0.000
Li 0.000 0.500 0.500

Record 3
LiAc2ScIn6: optimized geometry, PBE.

D(E_F) ... 3.41 states/eV/f.u.
Total magnetization ... 0.0 μB/cell
Energy of formation ... -0.24 eV per atom

Cell: 7.405 7.405 7.395 Å, 60.06 60.06 90.01°
Fractional positions:
In 0.734 0.266 0.000
In 0.267 0.267 0.999
In 0.265 0.265 0.468
In 0.735 0.735 0.532
In 0.266 0.734 0.000
In 0.733 0.733 0.001
Li 0.500 0.500 0.000
Ac 0.250 0.750 0.500
Ac 0.750 0.250 0.500
Sc 0.000 0.000 0.000

Record 4
Ca4TaAl: optimized geometry, PBE.

D(E_F) ... 3.16 states/eV/f.u.
Total magnetization ... 4.0 μB/cell
Energy of formation ... 0.91 eV per atom

Cell: 6.321 6.321 6.321 Å, 60.00 60.00 60.00°
Fractional positions:
Ca 0.375 0.874 0.375
Ca 0.375 0.375 0.874
Ca 0.375 0.375 0.375
Ca 0.874 0.375 0.375
Ta 0.750 0.750 0.750
Al 0.000 0.000 0.000

Record 5
BaNa2Pr: optimized geometry, PBE.

D(E_F) ... 4.23 states/eV/f.u.
Total magnetization ... 0.0 μB/cell
Energy of formation ... 0.29 eV per atom

Cell: 3.740 3.740 14.109 Å, 82.38 82.38 60.00°
Fractional positions:
Na 0.916 0.916 0.253
Na 0.084 0.084 0.747
Pr 0.000 0.000 0.000
Ba 0.500 0.500 0.500

Record 6
CrHgMo2: optimized geometry, PBE.

D(E_F) ... 3.01 states/eV/f.u.
Total magnetization ... 0.0 μB/cell
Energy of formation ... 0.59 eV per atom

Cell: 5.246 5.246 2.705 Å, 82.09 82.09 116.92°
Fractional positions:
Cr 0.500 0.000 0.500
Mo 0.500 0.500 0.000
Mo 0.000 0.000 0.000
Hg 0.000 0.500 0.500